[1]
Compound: CrPtW
Source: Alexandria via LeMat-Bulk
Functional: PBE
Structure: optimized geometry

Lattice parameters (Å, degrees): 4.9124 4.9124 4.9124 141.83 141.83 55.08
Last column: nearest neighbours and their distance in Å.
Sites, in units of the cell vectors:
1 Cr 0.0000 0.0000 0.0000  4 W 2.60, 5 Pt 2.73-2.83
2 Pt 0.3251 0.3251 0.0000  5 Cr 2.73-2.83, 5 W 2.76-2.79
3 W 0.6459 0.6459 0.0000  4 Cr 2.60, 5 Pt 2.76-2.79

DOS at the Fermi energy: 1.0790 states/eV per atom
distance to the lowest polymorph of the same formula: 2.65 kcal/mol of atoms

[2]
Compound: Cr2Pt2W
Source: Alexandria via LeMat-Bulk
Functional: PBE
Structure: optimized geometry

Lattice parameters (Å, degrees): 7.3953 7.3953 2.6589 90.00 90.00 90.00
Last column: nearest neighbours and their distance in Å.
Sites, in units of the cell vectors:
1 Cr 0.1718 0.3282 0.0000  6 Pt 2.49-2.60, 2 Cr 2.66
2 Cr 0.3282 0.8282 0.0000  6 Pt 2.49-2.60, 2 Cr 2.66
3 Cr 0.6718 0.1718 0.0000  6 Pt 2.49-2.60, 2 Cr 2.66
4 Cr 0.8282 0.6718 0.0000  6 Pt 2.49-2.60, 2 Cr 2.66
5 Pt 0.1273 0.6273 0.5000  6 Cr 2.49-2.60, 3 Pt 2.66
6 Pt 0.3727 0.1273 0.5000  6 Cr 2.49-2.60, 3 Pt 2.66
7 Pt 0.6273 0.8727 0.5000  6 Cr 2.49-2.60, 3 Pt 2.66
8 Pt 0.8727 0.3727 0.5000  6 Cr 2.49-2.60, 3 Pt 2.66
9 W 0.0000 0.0000 0.5000  2 W 2.66, 4 Pt 2.91
10 W 0.5000 0.5000 0.5000  2 W 2.66, 4 Pt 2.91

DOS at the Fermi energy: 1.0657 states/eV per atom

[3]
Compound: CrPtW
Source: Alexandria via LeMat-Bulk
Functional: PBE
Structure: optimized geometry

Lattice parameters (Å, degrees): 4.2088 4.2088 4.2088 60.00 60.00 60.00
Last column: nearest neighbours and their distance in Å.
Sites, in units of the cell vectors:
1 Cr 0.0000 0.0000 0.0000  4 W 2.58
2 Pt 0.5000 0.5000 0.5000  4 W 2.58
3 W 0.2500 0.2500 0.2500  4 Cr 2.58, 4 Pt 2.58

DOS at the Fermi energy: 0.7417 states/eV per atom
distance to the lowest polymorph of the same formula: 13.14 kcal/mol of atoms

[4]
Compound: CrPt2W
Source: Alexandria via LeMat-Bulk
Functional: PBE
Structure: optimized geometry

Lattice parameters (Å, degrees): 2.7169 2.7169 7.9785 90.00 90.00 90.00
Last column: nearest neighbours and their distance in Å.
Sites, in units of the cell vectors:
1 Cr 0.0000 0.0000 0.0000  8 Pt 2.71, 4 Cr 2.72
2 Pt 0.5000 0.5000 0.2388  4 Cr 2.71, 4 Pt 2.72, 4 W 2.83
3 Pt 0.5000 0.5000 0.7612  4 Cr 2.71, 4 Pt 2.72, 4 W 2.83
4 W 0.0000 0.0000 0.5000  4 W 2.72, 8 Pt 2.83

DOS at the Fermi energy: 0.9416 states/eV per atom
distance to the lowest polymorph of the same formula: 1.11 kcal/mol of atoms

[5]
Compound: CrPt2W
Source: Alexandria via LeMat-Bulk
Functional: PBE
Structure: optimized geometry

Lattice parameters (Å, degrees): 4.8411 4.8411 4.8411 133.27 133.27 68.23
Last column: nearest neighbours and their distance in Å.
Sites, in units of the cell vectors:
1 Cr 0.0000 0.0000 0.0000  4 W 2.72, 8 Pt 2.78
2 Pt 0.2500 0.7500 0.5000  4 Pt 2.72, 4 Cr 2.78, 4 W 2.78
3 Pt 0.7500 0.2500 0.5000  4 Pt 2.72, 4 Cr 2.78, 4 W 2.78
4 W 0.5000 0.5000 0.0000  4 Cr 2.72, 8 Pt 2.78

DOS at the Fermi energy: 1.0396 states/eV per atom
distance to the lowest polymorph of the same formula: 0.20 kcal/mol of atoms

[6]
Compound: CrPt2W
Source: Alexandria via LeMat-Bulk
Functional: PBE
Structure: optimized geometry

Lattice parameters (Å, degrees): 4.7855 4.7855 4.7855 131.75 131.75 70.63
Last column: nearest neighbours and their distance in Å.
Sites, in units of the cell vectors:
1 Cr 0.0000 0.0000 0.0000  4 W 2.76, 8 Pt 2.76-2.77
2 Pt 0.5000 0.5000 0.0000  4 W 2.76, 4 Pt 2.76, 4 Cr 2.77
3 Pt 0.7500 0.2500 0.5000  4 Cr 2.76, 4 Pt 2.76, 4 W 2.77
4 W 0.2500 0.7500 0.5000  4 Cr 2.76, 8 Pt 2.76-2.77

DOS at the Fermi energy: 1.0981 states/eV per atom
distance to the lowest polymorph of the same formula: 1.51 kcal/mol of atoms

[7]
Compound: CrPt2W
Source: Alexandria via LeMat-Bulk
Functional: PBE
Structure: optimized geometry

Lattice parameters (Å, degrees): 4.7507 4.7507 4.8610 99.70 99.70 33.16
Last column: nearest neighbours and their distance in Å.
Sites, in units of the cell vectors:
1 Cr 0.0000 0.0000 0.0000  7 Pt 2.64-2.82, 2 Cr 2.71, 3 W 2.72-2.92
2 Pt 0.2562 0.2562 0.7929  3 Cr 2.64-2.70, 5 Pt 2.71-2.89, 4 W 2.74-2.83
3 Pt 0.4936 0.4936 0.5063  3 W 2.68-2.73, 5 Pt 2.71-2.89, 4 Cr 2.75-2.82
4 W 0.7407 0.7407 0.2771  7 Pt 2.68-2.83, 2 W 2.71, 3 Cr 2.72-2.92

DOS at the Fermi energy: 0.9130 states/eV per atom
distance to the lowest polymorph of the same formula: 1.47 kcal/mol of atoms

[8]
Compound: CrPt2W
Source: Alexandria via LeMat-Bulk
Functional: PBE
Structure: optimized geometry

Lattice parameters (Å, degrees): 5.5999 5.5999 5.5999 102.89 102.89 123.63
Last column: nearest neighbours and their distance in Å.
Sites, in units of the cell vectors:
1 Cr 0.0000 0.0000 0.0000  4 Pt 2.49, 2 W 2.64
2 Cr 0.7500 0.2500 0.5000  4 Pt 2.49, 2 W 2.64
3 Pt 0.1112 0.6250 0.9862  2 Cr 2.49, 2 W 2.62, 2 Pt 2.65
4 Pt 0.3750 0.3612 0.4862  2 Cr 2.49, 2 W 2.62, 2 Pt 2.65
5 Pt 0.6388 0.1250 0.0138  2 Cr 2.49, 2 W 2.62, 2 Pt 2.65
6 Pt 0.8750 0.8888 0.5138  2 Cr 2.49, 2 W 2.62, 2 Pt 2.65
7 W 0.2500 0.7500 0.5000  4 Pt 2.62, 2 Cr 2.64
8 W 0.5000 0.5000 0.0000  4 Pt 2.62, 2 Cr 2.64

DOS at the Fermi energy: 1.4595 states/eV per atom
distance to the lowest polymorph of the same formula: 15.47 kcal/mol of atoms

Formation energy from the elements in eV per atom, matching the order above: 0.11 0.11 0.56 -0.15 -0.19 -0.14 -0.14 0.47
Raw total energy in eV/atom, matching the order above: -9.43 -8.74 -8.98 -8.82 -8.86 -8.80 -8.80 -8.20